No. 1
Compound: AgOs2W
Source: Alexandria
Functional: PBE
Structure: optimized geometry

abc: 9.294 2.796 4.887
angles: 90.00 101.07 90.00
Space group C2/m (No. 12)
Unique sites:
Ag1 0.000 0.000 0.000 [2 per cell]
Os1 0.236 0.000 0.727 [4 per cell]
W1 0.000 0.500 0.500 [2 per cell]

Properties
**ΔE_f**: 0.455 eV per atom
**V**: 15.582 A^3/atom
**E above lowest polymorph**: 63 kJ/mol of formula units
**Energy**: -9.111 eV per atom
**ρ**: 17.9 g/cm³
**D(E_F)**: 0.605 states/eV/atom

=====

No. 2
Compound: AgOsW4
Source: Alexandria
Functional: PBE
Structure: optimized geometry

abc: 7.397 7.397 7.397
angles: 90.00 90.00 90.00
Space group F-43m (No. 216)
Unique sites:
Ag1 0.000 0.000 0.000 [4 per cell]
Os1 0.250 0.250 0.250 [4 per cell]
W1 0.126 0.126 0.626 [16 per cell]

Properties
**ΔE_f**: 0.662 eV per atom
**V**: 16.863 A^3/atom
**Energy**: -10.321 eV per atom
**ρ**: 17.0 g/cm³
**D(E_F)**: 0.793 states/eV/atom

=====

No. 3
Compound: AgOs2W
Source: Alexandria
Functional: PBE
Structure: optimized geometry

abc: 2.759 2.759 8.222
angles: 90.00 90.00 90.00
Space group P4mm (No. 99)
Unique sites:
Ag1 0.000 0.000 0.000 [1 per cell]
Os1 0.000 0.000 0.477 [1 per cell]
Os2 0.500 0.500 0.268 [1 per cell]
W1 0.500 0.500 0.735 [1 per cell]

Properties
**ΔE_f**: 0.410 eV per atom
**V**: 15.647 A^3/atom
**E above lowest polymorph**: 46 kJ/mol of formula units
**Energy**: -9.156 eV per atom
**ρ**: 17.8 g/cm³
**D(E_F)**: 0.706 states/eV/atom